1.
First-principles (GGA-PBE) data for Pr2Be4PdPt3 after structural relaxation, as listed in the Alexandria database.

## Properties
- E_form (eV per atom) = -0.774
- raw total energy (eV/atom) = -5.55
- calculated volume (Å³/atom) = 16.27

a = 4.096 Å, b = 4.096 Å, c = 9.699 Å
α = 90.00°, β = 90.00°, γ = 90.00°
Space group P-4m2 (No. 115)
Unique sites:
Pr  0.000  0.500  0.248 x2
Be  0.000  0.000  0.000 x1
Be  0.000  0.500  0.622 x2
Be  0.500  0.500  0.000 x1
Pd  0.000  0.000  0.500 x1
Pt  0.000  0.500  0.877 x2
Pt  0.500  0.500  0.500 x1


2.
First-principles (GGA-PBE) data for Pr2BePdPt6 after structural relaxation, as listed in the Alexandria database.

## Properties
- E_form (eV per atom) = -0.675
- raw total energy (eV/atom) = -6.15
- calculated volume (Å³/atom) = 19.41

a = 9.762 Å, b = 5.691 Å, c = 7.661 Å
α = 90.00°, β = 114.21°, γ = 90.00°
Space group C2/m (No. 12)
Unique sites:
Pr  0.210  0.000  0.131 x4
Be  0.000  0.000  0.500 x2
Pd  0.000  0.500  0.000 x2
Pt  0.020  0.261  0.308 x8
Pt  0.237  0.000  0.695 x4


3.
First-principles (GGA-PBE) data for Pr2Be3PdPt4 after structural relaxation, as listed in the Alexandria database.

## Properties
- E_form (eV per atom) = -0.805
- raw total energy (eV/atom) = -5.81
- calculated volume (Å³/atom) = 17.18

a = 4.053 Å, b = 4.053 Å, c = 10.456 Å
α = 90.00°, β = 90.00°, γ = 90.00°
Space group P-4m2 (No. 115)
Unique sites:
Pr  0.000  0.500  0.247 x2
Be  0.000  0.500  0.888 x2
Be  0.500  0.500  0.500 x1
Pd  0.000  0.000  0.500 x1
Pt  0.000  0.000  0.000 x1
Pt  0.000  0.500  0.666 x2
Pt  0.500  0.500  0.000 x1